# 1
## Ca2Er2Tl7 (PBE)

Data for Ca2Er2Tl7 after structural relaxation.

abc: 6.9258 8.2982 6.9258
angles: 90.01 117.93 89.99
With the nearest neighbours (Å) after each atom.
Positions (direct):
Tl (0.5003, 0.6870, 0.9998)  1 Tl 3.10, 2 Er 3.16, 2 Ca 3.35
Tl (0.9998, 0.3130, 0.5003)  1 Tl 3.10, 2 Er 3.16, 2 Ca 3.35
Tl (0.4997, 0.3130, 0.0002)  1 Tl 3.10, 2 Er 3.16, 2 Ca 3.35
Tl (0.0002, 0.6870, 0.4997)  1 Tl 3.10, 2 Er 3.16, 2 Ca 3.35
Tl (0.5002, 0.8139, 0.4998)  1 Tl 3.09, 2 Ca 3.18, 2 Er 3.21
Tl (0.4998, 0.1861, 0.5002)  1 Tl 3.09, 2 Ca 3.18, 2 Er 3.21
Tl (0.0000, 0.0000, 0.0000)  2 Er 3.12
Er (0.7370, 0.0000, 0.2630)  7 Tl 3.12-3.21
Er (0.2630, 0.0000, 0.7370)  7 Tl 3.12-3.21
Ca (0.7546, 0.5000, 0.7546)  6 Tl 3.18-3.35, 1 Ca 3.50
Ca (0.2454, 0.5000, 0.2454)  6 Tl 3.18-3.35, 1 Ca 3.50

=====

# 2
## Ca7ErTl4 (PBE)

Data for Ca7ErTl4 after structural relaxation.

abc: 5.8000 9.7497 7.9840
angles: 79.21 68.70 72.70
With the nearest neighbours (Å) after each atom.
Positions (direct):
Ca (0.3242, 0.6167, 0.7349)  4 Tl 3.14-3.40
Ca (0.9291, 0.3644, 0.7773)  5 Tl 3.23-3.54, 1 Ca 3.53
Ca (0.0709, 0.6356, 0.2227)  5 Tl 3.23-3.54, 1 Ca 3.53
Ca (0.6758, 0.3833, 0.2651)  4 Tl 3.14-3.40
Ca (0.5000, 0.0000, 0.0000)  2 Er 2.90, 4 Tl 3.12-3.15
Ca (0.2199, 0.1209, 0.4393)  4 Tl 3.30-3.47, 2 Ca 3.53-3.55
Ca (0.7801, 0.8791, 0.5607)  4 Tl 3.30-3.47, 2 Ca 3.53-3.55
Tl (0.3102, 0.3289, 0.0506)  6 Ca 3.12-3.40, 1 Tl 3.21
Tl (0.6898, 0.6711, 0.9494)  6 Ca 3.12-3.40, 1 Tl 3.21
Tl (0.5636, 0.2198, 0.6529)  7 Ca 3.14-3.47, 1 Tl 3.21
Tl (0.4364, 0.7802, 0.3471)  7 Ca 3.14-3.47, 1 Tl 3.21
Er (0.0000, 0.0000, 0.0000)  2 Ca 2.90

=====

# 3
## CaEr7Tl4 (PBE)

Data for CaEr7Tl4 after structural relaxation.

abc: 5.6697 9.3747 7.6770
angles: 77.32 68.33 72.40
With the nearest neighbours (Å) after each atom.
Positions (direct):
Ca (0.0000, 0.0000, 0.0000)  2 Er 2.83
Er (0.0571, 0.6126, 0.2732)  3 Tl 3.16-3.29, 1 Er 3.29
Er (0.2173, 0.1254, 0.4399)  4 Tl 3.17-3.32, 2 Er 3.29-3.46
Er (0.9429, 0.3874, 0.7268)  3 Tl 3.16-3.29, 1 Er 3.29
Er (0.7827, 0.8746, 0.5601)  4 Tl 3.17-3.32, 2 Er 3.29-3.46
Er (0.5000, 0.0000, 0.0000)  2 Ca 2.83, 4 Tl 3.01-3.12
Er (0.2985, 0.6314, 0.7717)  4 Tl 3.00-3.16
Er (0.7015, 0.3686, 0.2283)  4 Tl 3.00-3.16
Tl (0.3124, 0.3308, 0.0444)  6 Er 3.01-3.17, 1 Tl 3.20
Tl (0.6876, 0.6692, 0.9556)  6 Er 3.01-3.17, 1 Tl 3.20
Tl (0.4283, 0.7743, 0.3690)  7 Er 3.00-3.32, 1 Tl 3.20
Tl (0.5717, 0.2257, 0.6310)  7 Er 3.00-3.32, 1 Tl 3.20

=====

# 4
## CaErTl2 (PBE)

Data for CaErTl2 after structural relaxation.

abc: 3.7422 3.7422 10.1023
angles: 79.33 79.33 60.00
With the nearest neighbours (Å) after each atom.
Positions (direct):
Ca (0.5000, 0.5000, 0.5000)  6 Tl 3.31
Tl (0.7485, 0.7485, 0.7546)  3 Er 3.25, 3 Ca 3.31
Tl (0.2515, 0.2515, 0.2454)  3 Er 3.25, 3 Ca 3.31
Er (0.0000, 0.0000, 0.0000)  6 Tl 3.25

=====

# 5
## CaEr2Tl (PBE)

Data for CaEr2Tl after structural relaxation.

abc: 3.5759 3.5759 11.9434
angles: 81.39 81.39 60.00
With the nearest neighbours (Å) after each atom.
Positions (direct):
Tl (0.5000, 0.5000, 0.5000)  6 Er 3.23, 6 Tl 3.58
Er (0.0962, 0.0962, 0.7114)  3 Tl 3.23, 1 Ca 3.39, 6 Er 3.58
Er (0.9038, 0.9038, 0.2886)  3 Tl 3.23, 1 Ca 3.39, 6 Er 3.58
Ca (0.0000, 0.0000, 0.0000)  2 Er 3.39, 6 Ca 3.58

Output
- E above lowest polymorph (meV/atom) = 214

=====

# 6
## CaErTl2 (PBE)

Data for CaErTl2 after structural relaxation.

abc: 3.7163 3.7163 10.2208
angles: 79.53 79.53 60.00
With the nearest neighbours (Å) after each atom.
Positions (direct):
Ca (0.6672, 0.6672, 0.9985)  6 Tl 3.32-3.34
Er (0.4994, 0.4994, 0.5018)  6 Tl 3.24-3.27
Tl (0.2485, 0.2485, 0.2545)  3 Er 3.27, 3 Ca 3.34
Tl (0.0849, 0.0849, 0.7452)  3 Er 3.24, 3 Ca 3.32

=====

no.,formation enthalpy at 0 K (meV/atom),mass density (g/cm³),magnetic moment (μB/f.u.)
1,-40,8.71,0.0
2,-108,5.25,0.6
3,32,9.39,0.0
4,-258,8.55,0.0
5,91,7.38,0.0
6,-250,8.56,0.0